DFT (PBE+U) results for an optimized crystal structure of RbNiGe2O6.

Summary:
V: 603.8 Å³ per cell
calculated total energy: -222.8 eV per cell
density: 4.24 Mg/m³
magnetic moment: 3.8 μB per cell

```
data_RbNiGe2O6
_chemical_formula_sum 'Rb4 Ni4 Ge8 O24'
_cell_length_a 10.120
_cell_length_b 10.923
_cell_length_c 5.586
_cell_angle_alpha 90.00
_cell_angle_beta 102.09
_cell_angle_gamma 90.00
_symmetry_space_group_name_H-M 'C 1 2/c 1'
_symmetry_Int_Tables_number 15
loop_
_symmetry_equiv_pos_as_xyz
'x,y,z'
'-x,-y,-z'
'-x,y,-z+1/2'
'x,-y,z+1/2'
'x+1/2,y+1/2,z'
'-x+1/2,-y+1/2,-z'
'-x+1/2,y+1/2,-z+1/2'
'x+1/2,-y+1/2,z+1/2'
loop_
_atom_site_label
_atom_site_type_symbol
_atom_site_fract_x
_atom_site_fract_y
_atom_site_fract_z
Rb1 Rb 0.000 0.093 0.250
Ni1 Ni 0.000 0.278 0.750
Ge1 Ge 0.204 0.412 0.137
O1 O 0.064 0.312 0.096
O2 O 0.138 0.146 0.739
O3 O 0.183 0.453 0.812
```